VASP calculation (PBE) on crystalline Sr2InGe3Pd4 at its relaxed geometry.

Cell and atoms, written as CIF:
```
data_Sr2InGe3Pd4
_cell_length_a 4.443
_cell_length_b 4.443
_cell_length_c 10.673
_cell_angle_alpha 90.00
_cell_angle_beta 90.00
_cell_angle_gamma 90.00
_symmetry_space_group_name_H-M 'P 1'
_symmetry_Int_Tables_number 1
loop_
_symmetry_equiv_pos_as_xyz
'x,y,z'
loop_
_atom_site_label
_atom_site_fract_x
_atom_site_fract_y
_atom_site_fract_z
Sr1 0.000 0.500 0.242
Sr2 0.500 0.000 0.758
In1 0.000 0.000 0.500
Ge1 0.000 0.500 0.882
Ge2 0.500 0.000 0.118
Ge3 0.500 0.500 0.500
Pd1 0.000 0.000 0.000
Pd2 0.000 0.500 0.646
Pd3 0.500 0.000 0.354
Pd4 0.500 0.500 0.000
```

SG: No. 115
M_tot: 0.00 μB/f.u.
E_form: -15.57 kcal/mol of atoms
total energy: -47.48 eV per cell
D(E_F): 6.6 states/eV/cell

VASP calculation (PBE) on crystalline LaPmMgZn at its relaxed geometry.

Cell and atoms, written as CIF:
```
data_LaPmMgZn
_cell_length_a 3.766
_cell_length_b 3.766
_cell_length_c 7.815
_cell_angle_alpha 90.00
_cell_angle_beta 90.00
_cell_angle_gamma 90.00
_symmetry_space_group_name_H-M 'P 1'
_symmetry_Int_Tables_number 1
loop_
_symmetry_equiv_pos_as_xyz
'x,y,z'
loop_
_atom_site_label
_atom_site_fract_x
_atom_site_fract_y
_atom_site_fract_z
La1 0.000 0.000 0.000
Pm1 0.000 0.000 0.452
Mg1 0.500 0.500 0.717
Zn1 0.500 0.500 0.240
```

SG: No. 99
offset from the most stable computed form: 0 meV per atom
M_tot: 0.00 μB/f.u.
E_form: -4.88 kcal/mol of atoms
total energy: -13.39 eV per cell
D(E_F): 4.6 states/eV/cell

VASP calculation (PBE) on crystalline Ac2La7Nd at its relaxed geometry.

Cell and atoms, written as CIF:
```
data_Ac2La7Nd
_cell_length_a 15.584
_cell_length_b 15.584
_cell_length_c 3.648
_cell_angle_alpha 90.00
_cell_angle_beta 90.00
_cell_angle_gamma 154.13
_symmetry_space_group_name_H-M 'P 1'
_symmetry_Int_Tables_number 1
loop_
_symmetry_equiv_pos_as_xyz
'x,y,z'
loop_
_atom_site_label
_atom_site_fract_x
_atom_site_fract_y
_atom_site_fract_z
Ac1 0.206 0.794 0.000
Ac2 0.794 0.206 0.000
La1 0.000 0.000 0.000
La2 0.161 0.355 0.000
La3 0.315 0.685 0.500
La4 0.355 0.161 0.000
La5 0.645 0.839 0.000
La6 0.685 0.315 0.500
La7 0.839 0.645 0.000
Nd1 0.500 0.500 0.500
```

SG: No. 65
offset from the most stable computed form: 0 meV per atom
M_tot: 0.00 μB/f.u.
E_form: 2.93 kcal/mol of atoms
total energy: -46.21 eV per cell
D(E_F): 17.3 states/eV/cell

VASP calculation (PBE) on crystalline Pr3GeI7 at its relaxed geometry.

Cell and atoms, written as CIF:
```
data_Pr3GeI7
_cell_length_a 9.144
_cell_length_b 9.144
_cell_length_c 7.379
_cell_angle_alpha 90.00
_cell_angle_beta 90.00
_cell_angle_gamma 120.00
_symmetry_space_group_name_H-M 'P 1'
_symmetry_Int_Tables_number 1
loop_
_symmetry_equiv_pos_as_xyz
'x,y,z'
loop_
_atom_site_label
_atom_site_fract_x
_atom_site_fract_y
_atom_site_fract_z
Pr1 0.009 0.505 0.000
Pr2 0.495 0.505 0.000
Pr3 0.495 0.991 0.000
Ge1 0.333 0.667 0.214
I1 0.172 0.344 0.748
I2 0.172 0.828 0.748
I3 0.339 0.170 0.234
I4 0.656 0.828 0.748
I5 0.667 0.333 0.746
I6 0.830 0.170 0.234
I7 0.830 0.661 0.234
```

SG: No. 156
M_tot: 2.00 μB/f.u.
total energy: -41.66 eV per cell
D(E_F): 5.7 states/eV/cell
E_form (uncorrected): -104.0 kJ/mol of atoms

VASP calculation (PBE) on crystalline ErCoGe2Rh at its relaxed geometry.

Cell and atoms, written as CIF:
```
data_ErCoGe2Rh
_cell_length_a 5.870
_cell_length_b 5.870
_cell_length_c 5.870
_cell_angle_alpha 139.82
_cell_angle_beta 139.82
_cell_angle_gamma 58.13
_symmetry_space_group_name_H-M 'P 1'
_symmetry_Int_Tables_number 1
loop_
_symmetry_equiv_pos_as_xyz
'x,y,z'
loop_
_atom_site_label
_atom_site_fract_x
_atom_site_fract_y
_atom_site_fract_z
Er1 0.000 0.000 0.000
Co1 0.250 0.750 0.500
Ge1 0.377 0.377 0.000
Ge2 0.623 0.623 0.000
Rh1 0.750 0.250 0.500
```

SG: No. 119
M_tot: 0.00 μB/f.u.
E_form: -16.54 kcal/mol of atoms
total energy: -31.84 eV per cell
D(E_F): 2.3 states/eV/cell

VASP calculation (PBE) on crystalline TlSb2Pb at its relaxed geometry.

Cell and atoms, written as CIF:
```
data_TlSb2Pb
_cell_length_a 3.364
_cell_length_b 3.364
_cell_length_c 11.078
_cell_angle_alpha 90.00
_cell_angle_beta 90.00
_cell_angle_gamma 111.13
_symmetry_space_group_name_H-M 'P 1'
_symmetry_Int_Tables_number 1
loop_
_symmetry_equiv_pos_as_xyz
'x,y,z'
loop_
_atom_site_label
_atom_site_fract_x
_atom_site_fract_y
_atom_site_fract_z
Tl1 0.000 0.000 0.000
Sb1 0.000 0.000 0.486
Sb2 0.500 0.500 0.248
Pb1 0.500 0.500 0.732
```

SG: No. 35
M_tot: 0.00 μB/f.u.
total energy: -13.78 eV per cell
D(E_F): 2.2 states/eV/cell
E_form (uncorrected): 13.0 kJ/mol of atoms

VASP calculation (PBE) on crystalline Tl12Hg7Bi at its relaxed geometry.

Cell and atoms, written as CIF:
```
data_Tl12Hg7Bi
_cell_length_a 8.675
_cell_length_b 8.675
_cell_length_c 8.675
_cell_angle_alpha 102.71
_cell_angle_beta 102.71
_cell_angle_gamma 102.71
_symmetry_space_group_name_H-M 'P 1'
_symmetry_Int_Tables_number 1
loop_
_symmetry_equiv_pos_as_xyz
'x,y,z'
loop_
_atom_site_label
_atom_site_fract_x
_atom_site_fract_y
_atom_site_fract_z
Tl1 0.000 0.265 0.735
Tl2 0.000 0.735 0.265
Tl3 0.163 0.163 0.418
Tl4 0.163 0.418 0.163
Tl5 0.265 0.000 0.735
Tl6 0.265 0.735 0.000
Tl7 0.418 0.163 0.163
Tl8 0.582 0.837 0.837
Tl9 0.735 0.000 0.265
Tl10 0.735 0.265 0.000
Tl11 0.837 0.582 0.837
Tl12 0.837 0.837 0.582
Hg1 0.000 0.000 0.000
Hg2 0.172 0.600 0.600
Hg3 0.400 0.400 0.828
Hg4 0.400 0.828 0.400
Hg5 0.600 0.172 0.600
Hg6 0.600 0.600 0.172
Hg7 0.828 0.400 0.400
Bi1 0.500 0.500 0.500
```

SG: No. 166
offset from the most stable computed form: 0 meV per atom
M_tot: 0.00 μB/f.u.
E_form: 0.23 kcal/mol of atoms
total energy: -34.19 eV per cell
D(E_F): 8.4 states/eV/cell

VASP calculation (PBE) on crystalline TeSCl2O at its relaxed geometry.

Cell and atoms, written as CIF:
```
data_TeSCl2O
_cell_length_a 5.232
_cell_length_b 5.232
_cell_length_c 5.021
_cell_angle_alpha 90.00
_cell_angle_beta 90.00
_cell_angle_gamma 90.00
_symmetry_space_group_name_H-M 'P 1'
_symmetry_Int_Tables_number 1
loop_
_symmetry_equiv_pos_as_xyz
'x,y,z'
loop_
_atom_site_label
_atom_site_fract_x
_atom_site_fract_y
_atom_site_fract_z
Te1 0.000 0.000 0.000
S1 0.000 0.000 0.500
Cl1 0.000 0.500 0.000
Cl2 0.500 0.000 0.000
O1 0.500 0.500 0.500
```

SG: No. 123
offset from the most stable computed form: 28 meV per atom
M_tot: 0.41 μB/f.u.
total energy: -12.43 eV per cell
D(E_F): 11.6 states/eV/cell
E_form (uncorrected): 67.3 kJ/mol of atoms

VASP calculation (PBE) on crystalline ReSnPd2Cl at its relaxed geometry.

Cell and atoms, written as CIF:
```
data_ReSnPd2Cl
_cell_length_a 5.007
_cell_length_b 5.007
_cell_length_c 5.159
_cell_angle_alpha 90.00
_cell_angle_beta 90.00
_cell_angle_gamma 90.00
_symmetry_space_group_name_H-M 'P 1'
_symmetry_Int_Tables_number 1
loop_
_symmetry_equiv_pos_as_xyz
'x,y,z'
loop_
_atom_site_label
_atom_site_fract_x
_atom_site_fract_y
_atom_site_fract_z
Re1 0.000 0.000 0.000
Sn1 0.500 0.500 0.500
Pd1 0.000 0.500 0.500
Pd2 0.500 0.000 0.500
Cl1 0.500 0.500 0.000
```

SG: No. 123
M_tot: 4.71 μB/f.u.
total energy: -22.08 eV per cell
D(E_F): 2.0 states/eV/cell
E_form (uncorrected): 127.4 kJ/mol of atoms

VASP calculation (PBE) on crystalline HfPaIrPd at its relaxed geometry.

Cell and atoms, written as CIF:
```
data_HfPaIrPd
_cell_length_a 4.816
_cell_length_b 4.816
_cell_length_c 4.816
_cell_angle_alpha 60.00
_cell_angle_beta 60.00
_cell_angle_gamma 60.00
_symmetry_space_group_name_H-M 'P 1'
_symmetry_Int_Tables_number 1
loop_
_symmetry_equiv_pos_as_xyz
'x,y,z'
loop_
_atom_site_label
_atom_site_fract_x
_atom_site_fract_y
_atom_site_fract_z
Hf1 0.000 0.000 0.000
Pa1 0.500 0.500 0.500
Ir1 0.250 0.250 0.250
Pd1 0.750 0.750 0.750
```

SG: No. 216
M_tot: 0.19 μB/f.u.
E_form: -13.30 kcal/mol of atoms
total energy: -35.81 eV per cell
D(E_F): 5.9 states/eV/cell

VASP calculation (PBE) on crystalline MoPPb at its relaxed geometry.

Cell and atoms, written as CIF:
```
data_MoPPb
_cell_length_a 4.515
_cell_length_b 4.515
_cell_length_c 4.515
_cell_angle_alpha 60.00
_cell_angle_beta 60.00
_cell_angle_gamma 60.00
_symmetry_space_group_name_H-M 'P 1'
_symmetry_Int_Tables_number 1
loop_
_symmetry_equiv_pos_as_xyz
'x,y,z'
loop_
_atom_site_label
_atom_site_fract_x
_atom_site_fract_y
_atom_site_fract_z
Mo1 0.000 0.000 0.000
P1 0.250 0.250 0.250
Pb1 0.750 0.750 0.750
```

SG: No. 216
offset from the most stable computed form: 727 meV per atom
M_tot: 1.24 μB/f.u.
E_form: 17.88 kcal/mol of atoms
total energy: -17.62 eV per cell
D(E_F): 3.2 states/eV/cell

VASP calculation (PBE) on crystalline Ba2TbCeSe6 at its relaxed geometry.

Cell and atoms, written as CIF:
```
data_Ba2TbCeSe6
_cell_length_a 7.421
_cell_length_b 8.031
_cell_length_c 13.152
_cell_angle_alpha 90.00
_cell_angle_beta 123.79
_cell_angle_gamma 90.00
_symmetry_space_group_name_H-M 'P 1'
_symmetry_Int_Tables_number 1
loop_
_symmetry_equiv_pos_as_xyz
'x,y,z'
loop_
_atom_site_label
_atom_site_fract_x
_atom_site_fract_y
_atom_site_fract_z
Ba1 0.221 0.080 0.249
Ba2 0.221 0.420 0.749
Ba3 0.779 0.580 0.251
Ba4 0.779 0.920 0.751
Tb1 0.000 0.000 0.500
Tb2 0.000 0.500 0.000
Ce1 0.500 0.000 0.000
Ce2 0.500 0.500 0.500
Se1 0.144 0.197 0.952
Se2 0.144 0.303 0.452
Se3 0.260 0.700 0.951
Se4 0.260 0.800 0.451
Se5 0.342 0.021 0.750
Se6 0.342 0.479 0.250
Se7 0.658 0.521 0.750
Se8 0.658 0.979 0.250
Se9 0.740 0.200 0.549
Se10 0.740 0.300 0.049
Se11 0.856 0.697 0.548
Se12 0.856 0.803 0.048
```

SG: No. 14
M_tot: 0.00 μB/f.u.
total energy: -104.94 eV per cell
D(E_F): 28.1 states/eV/cell
E_form (uncorrected): -165.5 kJ/mol of atoms

- What is the M_tot in the eleventh record?
  1.24 μB/f.u.